Entry 1:
ZnGa2Se: relaxed, PBE.

Cell lengths 6.167, 6.167, 6.931 Å; angles 63.58, 63.58, 90.00 degrees
Fractional positions:
Zn 0.500 0.500 0.000
Ga 0.613 0.125 0.250
Zn 0.250 0.750 0.500
Ga 0.375 0.387 0.750
Ga 0.875 0.863 0.750
Se 0.750 0.250 0.500
Se 0.000 0.000 0.000
Ga 0.137 0.625 0.250

Polymorph energy (0 for the lowest one) = 0.00 eV per formula unit
E_form (uncorrected) = -0.07 eV per atom

***

Entry 2:
Zn3GaSe4: relaxed, PBE.

Cell lengths 5.856, 5.856, 7.154 Å; angles 114.16, 114.16, 90.00 degrees
Fractional positions:
Zn 0.250 0.750 0.500
Zn 0.500 0.500 0.000
Ga 0.000 0.000 0.000
Zn 0.750 0.250 0.500
Se 0.611 0.131 0.743
Se 0.131 0.611 0.743
Se 0.389 0.389 0.257
Se 0.869 0.869 0.257

Polymorph energy (0 for the lowest one) = 0.00 eV per formula unit
E_form (uncorrected) = -0.57 eV per atom

***

Entry 3:
Zn2Ga2Se: relaxed, PBE.

Cell lengths 7.375, 7.375, 3.630 Å; angles 90.00, 90.00, 90.00 degrees
Fractional positions:
Se 0.000 0.000 0.000
Zn 0.126 0.626 0.500
Zn 0.626 0.874 0.500
Se 0.500 0.500 0.000
Zn 0.374 0.126 0.500
Ga 0.820 0.680 0.000
Ga 0.680 0.180 0.000
Ga 0.180 0.320 0.000
Ga 0.320 0.820 0.000
Zn 0.874 0.374 0.500

Polymorph energy (0 for the lowest one) = 0.34 eV per formula unit
E_form (uncorrected) = 0.09 eV per atom

***

Question: polymorph energy (0 for the lowest one) of number 1 (ZnGa2Se)?
Answer: 0.00 eV per formula unit